Entry 1:
A relaxed LuThTl crystal. Source: Alexandria, functional PBE.

**Space-group type**: No. 107
**Energy above the most stable polymorph in this dataset**: 0 meV per atom
**Formation enthalpy at 0 K**: -0.113 eV per atom
**Size of the total moment**: 0.00 μB per cell
**Electronic total energy**: -4.882 eV per atom
**DOS(E_F)**: 2.70 states/eV/f.u.

Lattice parameters (Å, degrees): 3.6185 3.6185 7.2506 104.45 104.45 90.00
Fractional positions:
Tl 0.6740 0.6740 0.3481
Lu 0.3223 0.3223 0.6447
Th 0.0036 0.0036 0.0073

***

Entry 2:
A relaxed AcPuSnPb crystal. Source: Alexandria, functional PBE.

**Space-group type**: No. 216
**Formation enthalpy at 0 K**: -0.294 eV per atom
**Size of the total moment**: 6.00 μB per cell
**Electronic total energy**: -6.832 eV per atom
**DOS(E_F)**: 14.01 states/eV/f.u.

Lattice parameters (Å, degrees): 5.6436 5.6436 5.6436 60.00 60.00 60.00
Fractional positions:
Pb 0.7500 0.7500 0.7500
Ac 0.0000 0.0000 0.0000
Sn 0.2500 0.2500 0.2500
Pu 0.5000 0.5000 0.5000

***

Entry 3:
A relaxed ReMo3 crystal. Source: Alexandria, functional PBE.

**Space-group type**: No. 225
**Formation enthalpy at 0 K**: 0.031 eV per atom
**Size of the total moment**: 0.00 μB per cell
**Electronic total energy**: -11.205 eV per atom
**DOS(E_F)**: 4.95 states/eV/f.u.

Lattice parameters (Å, degrees): 4.4588 4.4588 4.4588 60.00 60.00 60.00
Fractional positions:
Re 0.2500 0.2500 0.2500
Mo 0.0000 0.0000 0.0000
Mo 0.5000 0.5000 0.5000
Mo 0.7500 0.7500 0.7500

***

Entry 4:
A relaxed LaAsPbSe2 crystal. Source: Alexandria, functional PBE.

**Space-group type**: No. 123
**Energy above the most stable polymorph in this dataset**: 0 meV per atom
**Size of the total moment**: 0.00 μB per cell
**Electronic total energy**: -4.298 eV per atom
**Energy relative to the elements, uncorrected**: -1.2 eV per formula unit
**DOS(E_F)**: 3.35 states/eV/f.u.

Lattice parameters (Å, degrees): 5.3984 5.3984 5.2892 90.00 90.00 90.00
Fractional positions:
Pb 0.0000 0.0000 0.0000
As 0.0000 0.0000 0.5000
Se 0.0000 0.5000 0.0000
Se 0.5000 0.0000 0.0000
La 0.5000 0.5000 0.5000

***

Which value of size of the total moment does entry 3 give?
0.00 μB per cell

***

Which value of size of the total moment does entry 2 give?
6.00 μB per cell

***

Which of these has the lowest DOS(E_F)?
LuThTl